# 1
VASP calculation (meta-GGA SCAN) on a PBEsol-optimized structure of Al2TlN.

```
data_Al2TlN
_chemical_formula_sum 'Al8 Tl4 N4'
_cell_length_a 6.399
_cell_length_b 6.399
_cell_length_c 6.399
_cell_angle_alpha 90.00
_cell_angle_beta 90.00
_cell_angle_gamma 90.00
_space_group_name_H-M_alt 'F m -3 m'
_space_group_IT_number 225
_space_group_name_Hall '-F 4 2 3'
loop_
_atom_site_label
_atom_site_type_symbol
_atom_site_fract_x
_atom_site_fract_y
_atom_site_fract_z
Al1 Al 0.250 0.250 0.250
Tl1 Tl 0.000 0.000 0.000
N1 N 0.000 0.000 0.500
```

Calculated values
Its formation energy (no corrections) is 1.1158 eV/atom. The raw total energy is -23.172 eV per atom. The calculation puts the density of states at the Fermi level at 8.22 states/eV per cell. As for the calculated density: 6.90 g cm⁻³.

=====

# 2
VASP calculation (meta-GGA SCAN) on a PBEsol-optimized structure of AlTlW2N.

```
data_AlTlW2N
_chemical_formula_sum 'Al1 Tl1 W2 N1'
_cell_length_a 4.864
_cell_length_b 4.864
_cell_length_c 3.484
_cell_angle_alpha 90.00
_cell_angle_beta 90.00
_cell_angle_gamma 90.00
_space_group_name_H-M_alt 'P 4/m m m'
_space_group_IT_number 123
_space_group_name_Hall '-P 4 2'
loop_
_atom_site_label
_atom_site_type_symbol
_atom_site_fract_x
_atom_site_fract_y
_atom_site_fract_z
Al1 Al 0.000 0.000 0.000
Tl1 Tl 0.500 0.500 0.500
W1 W 0.000 0.500 0.000
N1 N 0.000 0.000 0.500
```

Calculated values
Its formation energy (no corrections) is 1.7982 eV/atom. The raw total energy is -43.957 eV per atom. The calculation puts the density of states at the Fermi level at 3.13 states/eV per cell. As for the calculated density: 12.35 g cm⁻³.

=====

# 3
VASP calculation (meta-GGA SCAN) on a PBEsol-optimized structure of YAl2N3.

```
data_YAl2N3
_chemical_formula_sum 'Y4 Al8 N12'
_cell_length_a 10.127
_cell_length_b 5.742
_cell_length_c 5.100
_cell_angle_alpha 90.00
_cell_angle_beta 90.00
_cell_angle_gamma 90.00
_space_group_name_H-M_alt 'C m c 21'
_space_group_IT_number 36
loop_
_space_group_symop_operation_xyz
'x,y,z'
'-x,-y,z+1/2'
'-x,y,z'
'x,-y,z+1/2'
'x+1/2,y+1/2,z'
'-x+1/2,-y+1/2,z+1/2'
'-x+1/2,y+1/2,z'
'x+1/2,-y+1/2,z+1/2'
loop_
_atom_site_label
_atom_site_type_symbol
_atom_site_fract_x
_atom_site_fract_y
_atom_site_fract_z
Y1 Y 0.000 0.192 0.000
Al1 Al 0.175 0.334 0.475
N1 N 0.000 0.208 0.531
N2 N 0.193 0.362 0.108
```

Calculated values
Its formation energy (no corrections) is -1.7066 eV/atom. The raw total energy is -13.577 eV per atom. The calculation puts the density of states at the Fermi level at 0.00 states/eV per cell. As for the calculated density: 4.14 g cm⁻³.

=====

# 4
VASP calculation (meta-GGA SCAN) on a PBEsol-optimized structure of AlZn2N.

```
data_AlZn2N
_chemical_formula_sum 'Al4 Zn8 N4'
_cell_length_a 5.649
_cell_length_b 5.649
_cell_length_c 7.874
_cell_angle_alpha 90.00
_cell_angle_beta 90.00
_cell_angle_gamma 90.00
_space_group_name_H-M_alt 'I -4 2 d'
_space_group_IT_number 122
_space_group_name_Hall 'I -4 2bw'
loop_
_atom_site_label
_atom_site_type_symbol
_atom_site_fract_x
_atom_site_fract_y
_atom_site_fract_z
Al1 Al 0.000 0.000 0.000
Zn1 Zn 0.148 0.250 0.625
N1 N 0.000 0.000 0.500
```

Calculated values
Its formation energy (no corrections) is 0.2723 eV/atom. The raw total energy is -10.746 eV per atom. The calculation puts the density of states at the Fermi level at 1.23 states/eV per cell. As for the calculated density: 4.54 g cm⁻³.